First-principles (PBE) data for Cd2AgN2 after structural relaxation, as listed in Alexandria.

The structure in POSCAR format:
```
Cd2AgN2
1.0
2.583 -1.441 0.328
0.043 2.958 0.328
0.595 0.344 15.321
N Ag Cd
2 1 2
Direct
0.547 0.547 0.462
0.453 0.453 0.538
0.000 0.000 0.000
0.723 0.723 0.822
0.277 0.277 0.178
```

- Spin magnetization: 0.00 μB per formula unit
- Volume: 116.9 Å³/f.u.
- Formation energy without anion corrections: 0.1231 eV/atom
- Symmetry: C2/m

---

First-principles (PBE) data for CdAg3N after structural relaxation, as listed in Alexandria.

The structure in POSCAR format:
```
CdAg3N
1.0
-2.619 2.192 -3.834
-4.413 -1.111 2.379
0.185 4.508 2.451
Ag Cd N
3 1 1
Direct
0.000 0.500 0.000
0.500 0.000 0.000
0.000 0.000 0.500
0.000 0.000 0.000
0.500 0.500 0.500
```

- Spin magnetization: 0.00 μB per formula unit
- ΔE to the lowest computed polymorph: 1.304 eV per atom
- Volume: 135.4 Å³/f.u.
- Formation energy without anion corrections: 1.8674 eV/atom
- Symmetry: Pm-3m

---

First-principles (PBE) data for CdAgN3 after structural relaxation, as listed in Alexandria.

The structure in POSCAR format:
```
CdAgN3
1.0
4.240 0.000 0.000
0.000 4.240 0.000
0.000 0.000 4.240
Cd Ag N
1 1 3
Direct
0.000 0.000 0.000
0.500 0.500 0.500
0.500 0.000 0.000
0.000 0.500 0.000
0.000 0.000 0.500
```

- Spin magnetization: 4.31 μB per formula unit
- Volume: 76.2 Å³/f.u.
- Formation energy without anion corrections: 2.4644 eV/atom
- Symmetry: Pm-3m

---

First-principles (PBE) data for Cd2AgNO after structural relaxation, as listed in Alexandria.

The structure in POSCAR format:
```
Cd2AgNO
1.0
-1.847 -0.934 -3.949
-0.024 -4.088 0.978
-4.058 0.452 1.791
N Ag Cd O
1 1 2 1
Direct
0.000 0.000 0.000
0.000 0.500 0.000
0.500 0.000 0.000
0.000 0.000 0.500
0.500 0.500 0.500
```

- Spin magnetization: 0.00 μB per formula unit
- Volume: 83.6 Å³/f.u.
- Formation energy without anion corrections: 0.4008 eV/atom
- Symmetry: P4/mmm

---

Repeat the second record exactly.
First-principles (PBE) data for CdAg3N after structural relaxation, as listed in Alexandria.

The structure in POSCAR format:
```
CdAg3N
1.0
-2.619 2.192 -3.834
-4.413 -1.111 2.379
0.185 4.508 2.451
Ag Cd N
3 1 1
Direct
0.000 0.500 0.000
0.500 0.000 0.000
0.000 0.000 0.500
0.000 0.000 0.000
0.500 0.500 0.500
```

- Spin magnetization: 0.00 μB per formula unit
- ΔE to the lowest computed polymorph: 1.304 eV per atom
- Volume: 135.4 Å³/f.u.
- Formation energy without anion corrections: 1.8674 eV/atom
- Symmetry: Pm-3m